[1]
## GaAsSe2O (PBE)

Data for a relaxed GaAsSe2O crystal.

a b c (Å): 4.8467 4.8467 4.9997
angles (deg): 90.00 90.00 90.00
Last column: nearest neighbours and their distance in Å.
Fractional positions:
Ga  0.0000  0.0000  0.0000  4 Se 2.42, 2 As 2.50
As  0.0000  0.0000  0.5000  2 Ga 2.50
Se  0.0000  0.5000  0.0000  2 Ga 2.42
Se  0.5000  0.0000  0.0000  2 Ga 2.42
O  0.5000  0.5000  0.5000  4 As 3.43, 8 Se 3.48

Output
The calculation puts the mass density at 4.504 g cm⁻³. For the uncorrected formation energy, the calculation gives 1047 meV per atom. Its density of states at the Fermi level is 9.38 states/eV/f.u. The symmetry is P4/mmm (123). The volume comes out at 117.4 Å³/cell.

***

[2]
## SmGaAs2O8 (PBE)

Data for a relaxed SmGaAs2O8 crystal.

a b c (Å): 5.8960 5.8960 5.8960
angles (deg): 105.99 105.99 116.69
Last column: nearest neighbours and their distance in Å.
Fractional positions:
Sm  0.0000  0.0000  0.0000  8 O 2.34-2.40
Ga  0.2500  0.7500  0.5000  8 O 2.26
As  0.5000  0.5000  0.0000  4 O 1.73
As  0.7500  0.2500  0.5000  4 O 1.72
O  0.3227  0.1342  0.8115  1 As 1.73
O  0.3227  0.5113  0.1885  1 As 1.73
O  0.3822  0.0562  0.3259  1 As 1.72
O  0.4887  0.6773  0.8115  1 As 1.73
O  0.7303  0.0562  0.6741  1 As 1.72
O  0.8658  0.6773  0.1885  1 As 1.73
O  0.9438  0.2697  0.3259  1 As 1.72
O  0.9438  0.6178  0.6741  1 As 1.72

Output
The calculation puts the mass density at 5.304 g cm⁻³. For the uncorrected formation energy, the calculation gives -1725 meV per atom. Its density of states at the Fermi level is 0.00 states/eV/f.u. The symmetry is I-4m2 (119). The volume comes out at 155.9 Å³/cell.

***

[3]
## SrGaAsO (PBE)

Data for a relaxed SrGaAsO crystal.

a b c (Å): 4.0634 4.0634 12.0011
angles (deg): 90.00 90.00 120.00
Last column: nearest neighbours and their distance in Å.
Fractional positions:
Sr  0.3333  0.6667  0.0000  3 O 2.46
Sr  0.6667  0.3333  0.5000  3 O 2.46
Ga  0.0000  0.0000  0.2192  1 O 1.89
Ga  0.0000  0.0000  0.7192  1 O 1.89
As  0.3333  0.6667  0.2947  3 Ga 2.51
As  0.6667  0.3333  0.7947  3 Ga 2.51
O  0.0000  0.0000  0.0622  1 Ga 1.89
O  0.0000  0.0000  0.5622  1 Ga 1.89

Output
The calculation puts the mass density at 4.805 g cm⁻³. For the uncorrected formation energy, the calculation gives -1615 meV per atom. The symmetry is P6_3mc (186). The volume comes out at 171.6 Å³/cell.